Material: KCaFe
Method: DFT, meta-GGA SCAN
State: PBEsol geometry

Computed properties:
The formation energy is 1.194 eV per atom. Its space group is F-43m (216). The calculated total energy comes out at -32.54 eV per cell. The density of states at the Fermi level is 1.8 states/eV/f.u.

abc: 5.197 5.197 5.197
angles: 60.00 60.00 60.00
Positions (direct):
Fe  0.500  0.500  0.500
Ca  0.000  0.000  0.000
K  0.250  0.250  0.250


Material: Cs2CaIr
Method: DFT, meta-GGA SCAN
State: PBEsol geometry

Computed properties:
The formation energy is 0.992 eV per atom. Its space group is Fm-3m (225). The calculated total energy comes out at -152.42 eV per cell. The density of states at the Fermi level is 2.2 states/eV/f.u.

abc: 5.520 5.520 5.520
angles: 60.00 60.00 60.00
Positions (direct):
Cs  0.750  0.750  0.750
Cs  0.250  0.250  0.250
Ir  0.500  0.500  0.500
Ca  0.000  0.000  0.000


Material: CdCo2Ni
Method: DFT, meta-GGA SCAN
State: PBEsol geometry

Computed properties:
The value obtained for the offset from the most stable computed form is 0.248 eV/f.u. The formation energy is 0.271 eV per atom. Its space group is I-4m2 (119). The calculated total energy comes out at -80.11 eV per cell. The density of states at the Fermi level is 3.5 states/eV/f.u.

abc: 3.725 3.725 4.442
angles: 114.79 114.79 90.00
Positions (direct):
Co  0.000  0.000  0.000
Cd  0.250  0.750  0.500
Ni  0.500  0.500  0.000
Co  0.750  0.250  0.500


Material: Al2IrW
Method: DFT, meta-GGA SCAN
State: PBEsol geometry

Computed properties:
The value obtained for the offset from the most stable computed form is 0.313 eV/f.u. The formation energy is -0.349 eV per atom. Its space group is R-3m (166). The calculated total energy comes out at -157.69 eV per cell. The density of states at the Fermi level is 2.0 states/eV/f.u.

abc: 2.812 2.812 8.716
angles: 80.72 80.72 60.00
Positions (direct):
Ir  0.500  0.500  0.500
W  0.000  0.000  0.000
Al  0.246  0.246  0.263
Al  0.754  0.754  0.737


Material: TmAgS2
Method: DFT, meta-GGA SCAN
State: PBEsol geometry

Computed properties:
Its space group is I4_1md (109). The calculated total energy comes out at -216.91 eV per cell.

abc: 5.283 5.283 6.949
angles: 112.34 112.34 90.00
Positions (direct):
Ag  0.789  0.789  0.578
Ag  0.039  0.539  0.078
S  0.263  0.763  0.525
S  0.013  0.013  0.025
Tm  0.493  0.993  0.987
S  0.720  0.220  0.441
S  0.470  0.470  0.941
Tm  0.243  0.243  0.487


Material: BaLaAl4
Method: DFT, meta-GGA SCAN
State: PBEsol geometry

Computed properties:
The formation energy is -0.340 eV per atom. Its space group is F-43m (216). The calculated total energy comes out at -115.71 eV per cell. The density of states at the Fermi level is 2.3 states/eV/f.u.

abc: 5.809 5.809 5.809
angles: 60.00 60.00 60.00
Positions (direct):
Al  0.374  0.877  0.374
Al  0.374  0.374  0.374
La  0.000  0.000  0.000
Ba  0.750  0.750  0.750
Al  0.374  0.374  0.877
Al  0.877  0.374  0.374


Material: K3Sr
Method: DFT, meta-GGA SCAN
State: PBEsol geometry

Computed properties:
The value obtained for the offset from the most stable computed form is 0.170 eV/f.u. The formation energy is 0.091 eV per atom. Its space group is C2/m (12). The calculated total energy comes out at -46.90 eV per cell. The density of states at the Fermi level is 3.6 states/eV/f.u.

abc: 4.364 7.827 7.940
angles: 98.11 90.00 106.19
Positions (direct):
K  0.500  0.000  0.500
K  0.250  0.501  0.755
K  0.750  0.499  0.245
Sr  0.000  0.000  0.000


Material: InCuCBr2
Method: DFT, meta-GGA SCAN
State: PBEsol geometry

Computed properties:
Its space group is P4/mmm (123). The calculated total energy comes out at -94.40 eV per cell. The density of states at the Fermi level is 1.7 states/eV/f.u.

abc: 3.639 5.427 5.427
angles: 90.00 90.00 90.00
Positions (direct):
In  0.500  0.500  0.500
C  0.500  0.000  0.000
Cu  0.000  0.000  0.000
Br  0.000  0.500  0.000
Br  0.000  0.000  0.500


Material: MnP3N
Method: DFT, meta-GGA SCAN
State: PBEsol geometry

Computed properties:
The value obtained for the offset from the most stable computed form is 3.203 eV/f.u. Its space group is Pm-3m (221). The calculated total energy comes out at -51.89 eV per cell. The density of states at the Fermi level is 1.7 states/eV/f.u.

abc: 4.168 4.168 4.168
angles: 90.00 90.00 90.00
Positions (direct):
P  0.000  0.000  0.500
P  0.500  0.000  0.000
P  0.000  0.500  0.000
N  0.500  0.500  0.500
Mn  0.000  0.000  0.000


Material: YSc2InN
Method: DFT, meta-GGA SCAN
State: PBEsol geometry

Computed properties:
Its space group is P4/mmm (123). The calculated total energy comes out at -89.29 eV per cell. The density of states at the Fermi level is 4.7 states/eV/f.u.

abc: 5.194 5.194 5.524
angles: 90.00 90.00 90.00
Positions (direct):
Sc  0.500  0.000  0.000
Sc  0.000  0.500  0.000
In  0.000  0.000  0.500
Y  0.000  0.000  0.000
N  0.500  0.500  0.500


Material: BeAlFe6
Method: DFT, meta-GGA SCAN
State: PBEsol geometry

Computed properties:
The formation energy is -0.126 eV per atom. Its space group is Cmmm (65). The calculated total energy comes out at -487.55 eV per cell. The density of states at the Fermi level is 5.5 states/eV/f.u.

abc: 6.150 6.150 10.874
angles: 90.00 90.00 124.10
Positions (direct):
Fe  0.000  0.000  0.000
Fe  0.248  0.752  0.754
Fe  0.611  0.870  0.118
Al  0.000  0.000  0.241
Fe  0.389  0.130  0.118
Fe  0.130  0.389  0.118
Al  0.755  0.245  0.500
Fe  0.611  0.870  0.882
Be  0.500  0.500  0.761
Fe  0.382  0.140  0.632
Fe  0.248  0.752  0.246
Fe  0.752  0.248  0.246
Fe  0.618  0.860  0.632
Fe  0.389  0.130  0.882
Be  0.500  0.500  0.239
Fe  0.618  0.860  0.368
Fe  0.860  0.618  0.368
Fe  0.752  0.248  0.754
Be  0.245  0.755  0.000
Fe  0.382  0.140  0.368
Fe  0.870  0.611  0.882
Fe  0.000  0.000  0.500
Fe  0.140  0.382  0.368
Fe  0.140  0.382  0.632
Fe  0.870  0.611  0.118
Fe  0.130  0.389  0.882
Be  0.755  0.245  0.000
Al  0.245  0.755  0.500
Fe  0.500  0.500  0.500
Fe  0.860  0.618  0.632
Al  0.000  0.000  0.759
Fe  0.500  0.500  0.000


Material: TlAgSe2
Method: DFT, meta-GGA SCAN
State: PBEsol geometry

Computed properties:
Its space group is P4/mmm (123). The calculated total energy comes out at -144.38 eV per cell. The density of states at the Fermi level is 1.7 states/eV/f.u.

abc: 4.001 4.001 5.634
angles: 90.00 90.00 90.00
Positions (direct):
Se  0.000  0.000  0.500
Se  0.500  0.500  0.000
Tl  0.000  0.000  0.000
Ag  0.500  0.500  0.500